This record from the Alexandria database describes a geometry-optimized TbErTlCo structure. The functional is GGA-PBE.

- Raw total energy: -4.919 eV/atom
- Total magnetic moment: 0.52 μB/cell
- Symmetry: P4mm, No. 99
- Offset from the most stable computed form: 0 meV/atom

Unit cell a=3.3972 b=3.3972 c=7.9547 alpha=90.00 beta=90.00 gamma=90.00
Last column: magnetic moment on the atom in μB.
Sites, in units of the cell vectors:
Tl (0.0000, 0.0000, 0.0754)  0.02
Tb (0.5000, 0.5000, 0.7755)  -0.12
Co (0.0000, 0.0000, 0.5660)  0.77
Er (0.5000, 0.5000, 0.3678)  -0.12